A plane-wave DFT calculation with PBE was carried out for Tb5Dy2HoMg after structural relaxation.

Output
energy = -4.18 eV per atom
DFT formation energy = 0.101 eV/atom
N(E_F) = 23.6 states/eV per cell
volume = 31.59 Å³/atom
total moment = 0.00 μB/atom
SG = No. 36

Cell: 10.3593 10.3593 10.5149 Å, 90.00 90.00 149.74°
With the nearest neighbours (Å) after each atom.
Fractional coordinates of all 18 atoms:
Tb1 0.9996 0.0004 0.0000  2 Mg 3.24-3.25, 2 Tb 3.53, 4 Dy 3.56-3.57
Tb2 0.0004 0.9996 0.5000  2 Mg 3.24-3.25, 2 Tb 3.53, 4 Dy 3.56-3.57
Tb3 0.1179 0.8821 0.7508  4 Dy 3.51, 6 Tb 3.53-3.78, 1 Ho 3.53
Tb4 0.2099 0.7901 0.4511  1 Mg 3.12, 2 Tb 3.30, 2 Ho 3.43, 2 Dy 3.44
Tb5 0.2108 0.7892 0.0504  1 Mg 3.11, 2 Tb 3.30, 2 Ho 3.43, 2 Dy 3.44
Tb6 0.4856 0.5144 0.7508  2 Mg 3.15, 2 Dy 3.41
Tb7 0.5144 0.4856 0.2508  2 Mg 3.15, 2 Dy 3.41
Tb8 0.7892 0.2108 0.5504  1 Mg 3.11, 2 Tb 3.30, 2 Ho 3.43, 2 Dy 3.44
Tb9 0.7901 0.2099 0.9511  1 Mg 3.12, 2 Tb 3.30, 2 Ho 3.43, 2 Dy 3.44
Tb10 0.8821 0.1179 0.2508  4 Dy 3.51, 6 Tb 3.53-3.78, 1 Ho 3.53
Dy1 0.3854 0.6146 0.4634  9 Tb 3.41-3.63, 1 Ho 3.53
Dy2 0.3857 0.6143 0.0383  9 Tb 3.41-3.62, 1 Ho 3.53
Dy3 0.6143 0.3857 0.5383  9 Tb 3.41-3.62, 1 Ho 3.53
Dy4 0.6146 0.3854 0.9634  9 Tb 3.41-3.63, 1 Ho 3.53
Ho1 0.2946 0.7054 0.7508  8 Tb 3.43-3.82, 2 Mg 3.49, 2 Dy 3.53
Ho2 0.7054 0.2946 0.2508  8 Tb 3.43-3.82, 2 Mg 3.49, 2 Dy 3.53
Mg1 0.0953 0.9047 0.2490  6 Tb 3.11-3.25, 2 Ho 3.49
Mg2 0.9047 0.0953 0.7490  6 Tb 3.11-3.25, 2 Ho 3.49



A plane-wave DFT calculation with PBE was carried out for Tb2Dy6Ho3Mg after structural relaxation.

Output
energy = -4.32 eV per atom
DFT formation energy = 0.026 eV/atom
N(E_F) = 16.3 states/eV per cell
volume = 30.75 Å³/atom
total moment = 0.00 μB/atom
SG = No. 12

Cell: 6.0979 6.0979 11.6438 Å, 95.03 95.03 120.04°
With the nearest neighbours (Å) after each atom.
Fractional coordinates of all 12 atoms:
Tb1 0.1664 0.8336 0.0000  6 Dy 3.51-3.52, 3 Tb 3.52, 3 Mg 3.52
Tb2 0.8336 0.1664 0.0000  6 Dy 3.51-3.52, 3 Tb 3.52, 3 Mg 3.52
Dy1 0.0849 0.4175 0.7505  1 Mg 3.50, 2 Tb 3.51, 6 Dy 3.51-3.53, 3 Ho 3.52
Dy2 0.2497 0.2497 0.2506  3 Ho 3.50-3.51, 6 Dy 3.51-3.53, 2 Tb 3.52, 1 Mg 3.52
Dy3 0.4175 0.0849 0.7505  1 Mg 3.50, 2 Tb 3.51, 6 Dy 3.51-3.53, 3 Ho 3.52
Dy4 0.5825 0.9151 0.2495  1 Mg 3.50, 2 Tb 3.51, 6 Dy 3.51-3.53, 3 Ho 3.52
Dy5 0.7503 0.7503 0.7494  3 Ho 3.50-3.51, 6 Dy 3.51-3.53, 2 Tb 3.52, 1 Mg 3.52
Dy6 0.9151 0.5825 0.2495  1 Mg 3.50, 2 Tb 3.51, 6 Dy 3.51-3.53, 3 Ho 3.52
Ho1 0.0000 0.0000 0.5000  6 Dy 3.51-3.52, 6 Ho 3.52-3.53
Ho2 0.3341 0.6659 0.5000  6 Dy 3.50-3.52, 6 Ho 3.51-3.53
Ho3 0.6659 0.3341 0.5000  6 Dy 3.50-3.52, 6 Ho 3.51-3.53
Mg1 0.5000 0.5000 0.0000  6 Dy 3.50-3.52, 6 Tb 3.52



A plane-wave DFT calculation with PBE was carried out for Tb2DyHo2Mg2 after structural relaxation.

Output
energy = -3.76 eV per atom
DFT formation energy = -0.021 eV/atom
N(E_F) = 7.2 states/eV per cell
volume = 29.08 Å³/atom
total moment = 0.00 μB/atom
SG = No. 166

Cell: 8.5733 8.5733 8.5733 Å, 36.90 36.90 36.90°
With the nearest neighbours (Å) after each atom.
Fractional coordinates of all 7 atoms:
Tb1 0.1551 0.1551 0.1551  3 Tb 3.18, 1 Mg 3.22, 3 Ho 3.46
Tb2 0.8449 0.8449 0.8449  3 Tb 3.18, 1 Mg 3.22, 3 Ho 3.46
Dy1 0.0000 0.0000 0.0000  6 Mg 3.30
Ho1 0.4269 0.4269 0.4269  4 Mg 3.29-3.35, 3 Tb 3.46, 1 Ho 3.50
Ho2 0.5731 0.5731 0.5731  4 Mg 3.29-3.35, 3 Tb 3.46, 1 Ho 3.50
Mg1 0.2896 0.2896 0.2896  1 Tb 3.22, 4 Ho 3.29-3.35, 3 Dy 3.30
Mg2 0.7104 0.7104 0.7104  1 Tb 3.22, 4 Ho 3.29-3.35, 3 Dy 3.30